1.
Density functional theory data (PBE) for a relaxed structure of Te2Pb3.

abc: 5.645 5.645 6.560
angles: 90.00 90.00 120.00
Fractional coordinates of all 5 atoms:
Pb 0.667 0.333 0.723
Te 0.333 0.667 0.771
Pb 0.333 0.667 0.277
Pb 0.000 0.000 0.000
Te 0.667 0.333 0.229

Computed properties:
- raw formation energy (meV/atom) = -98
- total magnetization (μB per formula unit) = 0.0

---

2.
Density functional theory data (PBE) for a relaxed structure of Te5Pb.

abc: 6.216 6.216 9.387
angles: 76.81 76.81 38.95
Fractional coordinates of all 6 atoms:
Te 0.607 0.607 0.739
Te 0.613 0.613 0.259
Te 0.949 0.949 0.424
Pb 0.017 0.017 0.001
Te 0.271 0.271 0.043
Te 0.377 0.377 0.701

Computed properties:
- excess energy over the best structure of this formula in the dataset (eV per atom) = 0.000
- raw formation energy (meV/atom) = 7
- total magnetization (μB per formula unit) = 0.0

---

3.
Density functional theory data (PBE) for a relaxed structure of Te6Pb.

abc: 7.492 7.492 7.492
angles: 109.47 109.47 109.47
Site moments in Bohr magnetons follow the coordinates.
Fractional coordinates of all 7 atoms:
Te 0.750 0.500 0.250  0.03
Te 0.500 0.750 0.250  0.03
Pb 0.000 0.000 0.000  -0.17
Te 0.250 0.500 0.750  0.03
Te 0.250 0.750 0.500  0.03
Te 0.500 0.250 0.750  0.03
Te 0.750 0.250 0.500  0.03

Computed properties:
- raw formation energy (meV/atom) = 603
- total magnetization (μB per formula unit) = 0.2

---

4.
Density functional theory data (PBE) for a relaxed structure of Te4Pb.

abc: 6.385 6.385 6.385
angles: 96.88 96.88 139.50
Fractional coordinates of all 5 atoms:
Te 0.169 0.652 0.821
Pb 0.000 0.000 0.000
Te 0.652 0.831 0.482
Te 0.831 0.348 0.179
Te 0.348 0.169 0.518

Computed properties:
- excess energy over the best structure of this formula in the dataset (eV per atom) = 0.000
- raw formation energy (meV/atom) = 74
- total magnetization (μB per formula unit) = 0.0

---

5.
Density functional theory data (PBE) for a relaxed structure of Te5Pb4.

abc: 9.954 9.954 6.653
angles: 90.00 90.00 120.00
Fractional coordinates of all 18 atoms:
Te 0.273 0.000 0.750
Te 0.333 0.667 0.000
Te 0.000 0.273 0.750
Te 0.273 0.273 0.250
Te 0.000 0.727 0.250
Pb 0.372 0.372 0.750
Pb 0.000 0.628 0.750
Te 0.667 0.333 0.000
Te 0.727 0.000 0.250
Pb 0.372 0.000 0.250
Te 0.333 0.667 0.500
Pb 0.000 0.000 0.000
Pb 0.628 0.000 0.750
Te 0.667 0.333 0.500
Pb 0.628 0.628 0.250
Pb 0.000 0.000 0.500
Te 0.727 0.727 0.750
Pb 0.000 0.372 0.250

Computed properties:
- raw formation energy (meV/atom) = -212
- total magnetization (μB per formula unit) = 0.0

---

6.
Density functional theory data (PBE) for a relaxed structure of Te5Pb.

abc: 3.907 3.907 11.585
angles: 90.00 90.00 90.00
Fractional coordinates of all 6 atoms:
Te 0.000 0.000 0.500
Te 0.500 0.500 0.343
Pb 0.500 0.500 0.000
Te 0.500 0.500 0.657
Te 0.000 0.000 0.170
Te 0.000 0.000 0.830

Computed properties:
- excess energy over the best structure of this formula in the dataset (eV per atom) = 0.165
- raw formation energy (meV/atom) = 173
- total magnetization (μB per formula unit) = 0.0